Entry 1:
NdSbRh2 | PBE | optimized geometry

Size of the total moment (μB per formula unit): 0.00
Uncorrected formation energy (eV per atom): -0.58
Calculated volume (Å³/f.u.): 78.8
Crystal system: tetragonal

Structure (POSCAR):
```
NdSbRh2
1.0
-1.9999 2.8312 -1.2896
-2.7343 -0.2404 3.7126
2.7582 2.9610 2.2232
Sb Nd Rh
1 1 2
Cartesian
-1.0000 1.4156 -0.6448
-0.9881 2.7759 2.3230
1.3791 1.4805 1.1116
-1.3672 -0.1202 1.8563
```

=====

Entry 2:
NdSbRh | PBE | optimized geometry

Size of the total moment (μB per formula unit): 0.00
Uncorrected formation energy (eV per atom): -0.90
Calculated volume (Å³/f.u.): 71.0
Crystal system: hexagonal

Structure (POSCAR):
```
NdSbRh
1.0
3.8884 0.0000 0.0000
0.0000 4.5913 0.0000
0.0000 -2.2957 3.9762
Sb Nd Rh
1 1 1
Cartesian
0.6476 0.0000 2.6508
2.5917 2.2957 1.3254
0.6492 0.0000 0.0000
```

=====

Entry 3:
Nd2Sb3Rh4 | PBE | optimized geometry

Size of the total moment (μB per formula unit): 0.00
Uncorrected formation energy (eV per atom): -0.77
Calculated volume (Å³/f.u.): 184.7
Crystal system: orthorhombic

Structure (POSCAR):
```
Nd2Sb3Rh4
1.0
6.1712 0.0000 0.0000
0.0000 7.4597 0.0000
-3.0856 0.0000 8.0256
Nd Sb Rh
4 6 8
Cartesian
0.0000 4.3915 1.6425
3.0856 3.0682 6.3832
0.0000 0.6617 6.3832
3.0856 6.7980 1.6425
0.0000 0.0000 0.0000
3.0856 3.7298 0.0000
1.5428 5.5947 4.2128
4.6284 1.8649 3.8128
1.5428 1.8649 3.8128
-1.5428 5.5947 4.2128
1.5428 5.5947 6.9112
4.6284 1.8649 1.1145
1.5428 1.8649 1.1145
-1.5428 5.5947 6.9112
0.0000 7.3429 2.7538
3.0856 0.1168 5.2718
0.0000 3.6130 5.2718
3.0856 3.8466 2.7538
```

=====

Entry 4:
Nd4Sb8Rh3 | PBE | optimized geometry

Size of the total moment (μB per formula unit): 0.00
Uncorrected formation energy (eV per atom): -0.80
Calculated volume (Å³/f.u.): 389.5
Crystal system: tetragonal

Structure (POSCAR):
```
Nd4Sb8Rh3
1.0
4.4457 0.0000 0.0000
0.0000 4.4457 0.0000
0.0000 0.0000 19.7088
Nd Sb Rh
4 8 3
Cartesian
2.2229 0.0000 7.3784
2.2229 0.0000 17.3626
0.0000 2.2229 2.3462
0.0000 2.2229 12.3304
2.2229 0.0000 1.3028
2.2229 0.0000 11.3284
0.0000 2.2229 8.3804
0.0000 2.2229 18.4060
2.2229 2.2229 4.8791
2.2229 2.2229 14.8298
0.0000 0.0000 4.8695
0.0000 0.0000 14.8393
2.2229 2.2229 9.8544
0.0000 0.0000 0.0000
0.0000 0.0000 9.8544
```